The following is a DFT calculation (PBE) of a relaxed structure of SrSmCuTe2S.

Calculated values
Its total energy is -57.23 eV per cell.

Unit cell a=7.537 b=7.537 c=10.650 alpha=90.00 beta=90.00 gamma=147.54
Positions (direct):
Sr1 0.219 0.781 0.750
Sr2 0.781 0.219 0.250
Sm1 0.500 0.500 0.000
Sm2 0.500 0.500 0.500
Cu1 0.021 0.979 0.250
Cu2 0.979 0.021 0.750
Te1 0.149 0.851 0.069
Te2 0.149 0.851 0.431
Te3 0.851 0.149 0.569
Te4 0.851 0.149 0.931
S1 0.434 0.566 0.250
S2 0.566 0.434 0.750